Entry w
SrHg3F: relaxed, PBE.

## Properties
D(E_F) ... 1.5 states/eV per cell
ρ ... 8.11 Mg/m³

Lattice parameters (Å, degrees): 5.253 5.253 5.253 90.00 90.00 90.00
Fractional positions:
Hg  0.000  0.500  0.000
Hg  0.000  0.000  0.500
Hg  0.500  0.000  0.000
Sr  0.500  0.500  0.500
F  0.000  0.000  0.000

***

Entry x
SrHg3F: relaxed, PBE.

## Properties
D(E_F) ... 2.2 states/eV per cell
ρ ... 4.33 Mg/m³

Lattice parameters (Å, degrees): 6.475 6.475 6.475 90.00 90.00 90.00
Fractional positions:
Hg  0.500  0.000  0.000
Hg  0.000  0.000  0.500
Hg  0.000  0.500  0.000
Sr  0.000  0.000  0.000
F  0.500  0.500  0.500

***

Top of the stability list: entry w, leading by 414 meV/atom.

***

Entry w
Ta2HgF: relaxed, PBE.

## Properties
D(E_F) ... 5.4 states/eV per cell
ρ ... 11.97 Mg/m³

Lattice parameters (Å, degrees): 4.614 4.614 8.251 73.76 73.76 90.00
Fractional positions:
F  0.250  0.750  0.500
F  0.500  0.500  0.000
Ta  0.375  0.500  0.750
Ta  0.500  0.125  0.250
Ta  0.250  0.625  0.250
Ta  0.875  0.750  0.750
Hg  0.750  0.250  0.500
Hg  0.000  0.000  0.000

***

Entry x
Ta2HgF: relaxed, PBE.

## Properties
D(E_F) ... 4.1 states/eV per cell
ρ ... 14.32 Mg/m³

Lattice parameters (Å, degrees): 4.569 4.569 4.569 60.00 60.00 60.00
Fractional positions:
Ta  0.250  0.250  0.250
Ta  0.750  0.750  0.750
F  0.000  0.000  0.000
Hg  0.500  0.500  0.500

***

Top of the stability list: entry x, leading by 239 meV/atom.